Entry from Alexandria via LeMat-Bulk: a geometry-optimized Bi2Se3 structure (PBE).

Output
DOS(E_F): 5.54 states/eV/cell
theoretical density: 6.518 Mg/m³
E_form (uncorrected): 12 meV/atom

abc: 5.449 5.449 11.880
angles: 76.74 76.74 90.00
Atoms (fractional coordinates):
Bi 0.641 0.141 0.718
Bi 0.250 0.750 0.500
Bi 0.000 0.000 0.000
Bi 0.859 0.359 0.282
Se 0.146 0.887 0.226
Se 0.296 0.296 0.408
Se 0.113 0.854 0.774
Se 0.704 0.704 0.592
Se 0.113 0.371 0.774
Se 0.629 0.887 0.226